MnSnWO6 | PBE+U | optimized geometry

Structure (POSCAR):
```
MnSnWO6
1.0
5.314 0.000 0.000
-2.657 4.602 0.000
0.000 0.000 9.378
Mn Sn W O
2 2 2 12
Cartesian
0.000 0.000 0.000
0.000 0.000 4.689
0.000 3.068 2.345
2.657 1.534 7.034
2.657 1.534 2.345
0.000 3.068 7.034
1.783 2.917 1.260
4.292 1.599 1.260
-0.761 4.516 5.949
-1.635 3.003 8.118
1.022 1.599 3.429
3.531 2.917 3.429
0.761 4.516 8.118
3.418 0.086 3.429
-0.874 1.685 5.949
1.896 0.086 1.260
1.635 3.003 5.949
0.874 1.685 8.118
```

Summary:
Volume (Å³/cell): 229.3
Calculated total energy (eV per atom): -7.132
DOS(E_F) (states/eV per atom): 0.0000